# CaVF3 PBE+U optimized geometry
data_CaVF3
_cell_length_a 4.274
_cell_length_b 4.274
_cell_length_c 4.274
_cell_angle_alpha 90.00
_cell_angle_beta 90.00
_cell_angle_gamma 90.00
_space_group_name_H-M_alt 'P m -3 m'
_space_group_IT_number 221
_space_group_name_Hall '-P 4 2 3'
loop_
_atom_site_label
_atom_site_type_symbol
_atom_site_fract_x
_atom_site_fract_y
_atom_site_fract_z
_atom_site_occupancy
Ca1 Ca 0.000 0.000 0.000 1
V1 V 0.500 0.500 0.500 1
F1 F 0.000 0.500 0.500 1
# total magnetization	0.638	μB/atom
# E	-0.1994	hartree per atom